The following is a DFT calculation (GGA-PBE) of a geometry-optimized AsPS2N structure.

Lattice parameters (Å, degrees): 4.191 4.191 4.136 90.00 90.00 90.00
Positions (direct):
As (0.000, 0.000, 0.000)
P (0.500, 0.500, 0.000)
S (0.000, 0.500, 0.500)
S (0.500, 0.000, 0.500)
N (0.500, 0.500, 0.500)

Properties
ΔE to the lowest computed polymorph, kJ per mole of atoms: 47.03
Raw formation energy, meV per atom: 1107.6

The following is a DFT calculation (GGA-PBE) of a geometry-optimized NaSbPt structure.

Lattice parameters (Å, degrees): 4.492 4.492 4.086 90.00 90.00 120.00
Positions (direct):
Na (0.000, 0.000, 0.000)
Sb (0.667, 0.333, 0.500)
Pt (0.333, 0.667, 0.500)

Properties
Raw formation energy, meV per atom: -370.0

The following is a DFT calculation (GGA-PBE) of a geometry-optimized Ta2CrIn structure.

Lattice parameters (Å, degrees): 2.917 2.917 8.907 90.00 90.00 111.51
Positions (direct):
Ta (0.000, 0.000, 0.218)
Ta (0.000, 0.000, 0.782)
Cr (0.500, 0.500, 0.000)
In (0.500, 0.500, 0.500)

Properties
Final energy, eV per atom: -8.819

The following is a DFT calculation (GGA-PBE) of a geometry-optimized ErMg5Ag4 structure.

Lattice parameters (Å, degrees): 3.352 3.352 17.994 90.00 90.00 90.00
Positions (direct):
Er (0.000, 0.000, 0.000)
Mg (0.500, 0.500, 0.132)
Mg (0.500, 0.500, 0.316)
Mg (0.500, 0.500, 0.500)
Mg (0.500, 0.500, 0.684)
Mg (0.500, 0.500, 0.868)
Ag (0.000, 0.000, 0.224)
Ag (0.000, 0.000, 0.408)
Ag (0.000, 0.000, 0.592)
Ag (0.000, 0.000, 0.776)

Properties
Final energy, eV per atom: -2.590